# 1
DFT (GGA-PBE) results for crystalline Pm2Sn3PdRh4 at its relaxed geometry.

## Properties
size of the total moment: 0.00 μB per formula unit
SG: P-4m2 (115)
electronic total energy: -62.70 eV for the cell shown

The structure in POSCAR format:
```
Pm2Sn3PdRh4
1.0
4.1125 0.0000 0.0000
0.0000 4.1125 0.0000
0.0000 0.0000 12.2994
Pm Sn Pd Rh
2 3 1 4
Cartesian
2.0563 0.0000 3.4232
0.0000 2.0563 8.8762
0.0000 0.0000 6.1497
2.0563 0.0000 10.6908
0.0000 2.0563 1.6086
2.0563 2.0563 6.1497
2.0563 2.0563 0.0000
0.0000 0.0000 0.0000
2.0563 0.0000 8.0827
0.0000 2.0563 4.2167
```

# 2
DFT (GGA-PBE) results for crystalline KCaTi2Sn at its relaxed geometry.

## Properties
size of the total moment: 5.02 μB per formula unit
SG: P4/mmm (123)
electronic total energy: -19.69 eV for the cell shown

The structure in POSCAR format:
```
KCaTi2Sn
1.0
5.4099 0.0000 0.0000
0.0000 6.0024 0.0000
0.0000 0.0000 5.4099
K Ca Sn Ti
1 1 1 2
Cartesian
2.7049 3.0012 2.7049
0.0000 3.0012 0.0000
0.0000 0.0000 0.0000
0.0000 0.0000 2.7049
2.7049 0.0000 0.0000
```

# 3
DFT (GGA-PBE) results for crystalline TbHoCo2 at its relaxed geometry.

## Properties
size of the total moment: 0.65 μB per formula unit
SG: Fm-3m (225)
electronic total energy: -24.00 eV for the cell shown

The structure in POSCAR format:
```
TbHoCo2
1.0
4.7187 0.0000 0.0000
2.3593 4.0865 0.0000
2.3593 1.3622 3.8528
Co Tb Ho
2 1 1
Cartesian
2.3593 1.3622 0.9632
7.0780 4.0865 2.8896
0.0000 0.0000 0.0000
4.7187 2.7243 1.9264
```

# 4
DFT (GGA-PBE) results for crystalline Cu3Re2 at its relaxed geometry.

## Properties
size of the total moment: 0.00 μB per formula unit
SG: Fdd2 (43)
electronic total energy: -70.30 eV for the cell shown

The structure in POSCAR format:
```
Cu3Re2
1.0
0.0000 4.5804 6.4542
2.2573 0.0000 6.4542
2.2573 4.5804 0.0000
Cu Re
6 4
Cartesian
2.6858 4.8354 5.2464
2.6858 4.3254 7.6619
3.8145 7.1256 10.8890
3.8145 6.6156 8.4735
0.3690 4.5804 6.4542
1.4977 2.2902 3.2271
1.6442 2.4461 5.8443
1.6442 6.7148 7.0640
2.7729 4.7363 10.2911
2.7729 4.4246 2.6172
```

# 5
DFT (GGA-PBE) results for crystalline Ba2LiPm at its relaxed geometry.

## Properties
size of the total moment: 0.00 μB per formula unit
SG: P4/mmm (123)
electronic total energy: -9.80 eV for the cell shown

The structure in POSCAR format:
```
Ba2LiPm
1.0
4.1377 0.0000 0.0000
0.0000 4.1377 0.0000
0.0000 0.0000 10.0989
Li Ba Pm
1 2 1
Cartesian
2.0689 2.0689 0.0000
0.0000 0.0000 7.8008
0.0000 0.0000 2.2981
2.0689 2.0689 5.0494
```

# 6
DFT (GGA-PBE) results for crystalline LaHoErAg at its relaxed geometry.

## Properties
size of the total moment: 0.00 μB per formula unit
SG: P4mm (99)
electronic total energy: -17.43 eV for the cell shown

The structure in POSCAR format:
```
LaHoErAg
1.0
-0.3917 3.1532 -1.7692
1.1231 -1.5854 -3.0743
-8.2398 -2.1038 -1.9252
La Ho Er Ag
1 1 1 1
Cartesian
-0.5934 -0.1515 -0.1386
-6.0179 -0.8460 -3.9133
-2.6707 0.0086 -3.1312
-4.6922 -1.1980 -1.0963
```

# 7
DFT (GGA-PBE) results for crystalline KBCl3 at its relaxed geometry.

## Properties
size of the total moment: 0.00 μB per formula unit
SG: Pm-3m (221)
electronic total energy: -15.88 eV for the cell shown

The structure in POSCAR format:
```
KBCl3
1.0
-4.2767 -1.7040 0.6167
0.8412 -3.2667 -3.1930
1.6051 -2.8283 3.3164
K B Cl
1 1 3
Cartesian
-0.9152 -3.8995 0.3701
0.0000 0.0000 0.0000
0.4206 -1.6333 -1.5965
0.8025 -1.4141 1.6582
-2.1383 -0.8520 0.3083
```

# 8
DFT (GGA-PBE) results for crystalline Cs2YSnI6 at its relaxed geometry.

## Properties
size of the total moment: 1.00 μB per formula unit
SG: I4/mmm (139)
electronic total energy: -32.73 eV for the cell shown

The structure in POSCAR format:
```
Cs2YSnI6
1.0
8.7498 0.0000 0.0000
0.0000 8.7498 0.0000
4.3749 4.3749 6.8607
Cs I Y Sn
2 6 1 1
Cartesian
8.7498 4.3749 3.4304
4.3749 8.7498 3.4304
4.3749 4.3749 3.0317
8.7498 8.7498 3.8290
2.2303 2.2303 0.0000
6.5195 6.5195 0.0000
6.5195 2.2303 0.0000
2.2303 6.5195 0.0000
4.3749 4.3749 0.0000
0.0000 0.0000 0.0000
```